(1)
A plane-wave DFT calculation with PBE was carried out for Ca2YMn after structural relaxation.

```
Ca2YMn
1.0
-1.796 3.768 -3.228
-3.339 -1.151 0.514
-2.557 3.415 5.408
Y Ca Mn
1 2 1
Cartesian
-5.320 3.582 2.828
-0.247 -0.009 0.127
-2.700 1.141 2.834
-2.372 2.450 -0.134
```

Computed properties:
Energy above the most stable polymorph in this dataset: 0.2456 eV/atom
Formation enthalpy at 0 K: 0.4215 eV/atom

(2)
A plane-wave DFT calculation with PBE was carried out for Ga2SiAs after structural relaxation.

```
Ga2SiAs
1.0
5.748 0.000 0.000
0.000 5.748 0.000
2.874 2.874 5.620
As Si Ga
2 2 4
Cartesian
0.000 0.000 0.000
5.748 2.874 2.810
2.874 2.874 0.000
2.874 5.748 2.810
4.263 1.437 1.405
1.485 4.311 1.405
4.311 4.358 4.215
7.185 7.137 4.215
```

Computed properties:
Energy above the most stable polymorph in this dataset: 0.0000 eV/atom
Formation energy from raw total energies: -0.011 eV per atom

(3)
A plane-wave DFT calculation with PBE was carried out for Pr4SiTe2Cl2 after structural relaxation.

```
Pr4SiTe2Cl2
1.0
4.344 0.000 0.000
-2.172 9.011 -1.005
0.000 -4.055 7.749
Pr Si Te Cl
4 1 2 2
Cartesian
2.172 2.214 5.576
0.000 2.742 1.168
2.172 -0.679 1.835
0.000 5.636 4.910
0.000 0.000 0.000
2.172 4.289 2.959
0.000 0.667 3.786
0.000 5.707 -0.139
2.172 -0.750 6.883
```

Computed properties:
Formation energy from raw total energies: -1.418 eV per atom

(4)
A plane-wave DFT calculation with PBE was carried out for ScIn2Tc after structural relaxation.

```
ScIn2Tc
1.0
4.101 0.000 0.000
0.000 4.101 0.000
2.051 2.051 10.259
Sc Tc In
2 2 4
Cartesian
2.051 2.051 0.000
2.051 4.101 5.130
0.000 0.000 0.000
4.101 2.051 5.130
3.135 1.025 2.565
0.967 3.076 2.565
3.076 3.017 7.695
5.126 5.185 7.695
```

Computed properties:
Energy above the most stable polymorph in this dataset: 0.4197 eV/atom
Formation enthalpy at 0 K: 0.3045 eV/atom